1.
A plane-wave DFT calculation with PBE was carried out for a relaxed structure of DyAl2Ni.

Calculated values
* space-group type: Cmcm, No. 63
* DFT formation energy: -62.1 kJ per mole of atoms

The structure in POSCAR format:
```
DyAl2Ni
1.0
4.063 0.005 0.000
-2.041 5.097 0.000
0.000 0.000 6.891
Ni Al Dy
2 4 2
direct
0.216 0.431 0.250
0.784 0.569 0.750
0.342 0.684 0.945
0.658 0.316 0.055
0.658 0.316 0.445
0.342 0.684 0.555
0.940 0.879 0.250
0.060 0.121 0.750
```

=====

2.
A plane-wave DFT calculation with PBE was carried out for a relaxed structure of VCrHIr2.

Calculated values
* space-group type: P4/mmm, No. 123
* energy relative to the lowest polymorph listed for this composition: 29 meV per atom

The structure in POSCAR format:
```
VCrHIr2
1.0
-0.566 -2.236 3.096
1.714 -2.945 -1.814
3.400 1.104 1.420
Cr Ir H V
1 2 1 1
direct
0.500 0.500 0.500
0.000 0.500 0.000
0.500 0.000 0.000
0.000 0.000 0.000
0.000 0.000 0.500
```

=====

3.
A plane-wave DFT calculation with PBE was carried out for a relaxed structure of CuBiIr2.

Calculated values
* space-group type: I-42d, No. 122
* DFT formation energy: 49.7 kJ per mole of atoms

The structure in POSCAR format:
```
CuBiIr2
1.0
4.039 0.000 0.000
0.000 4.039 0.000
2.020 2.020 9.116
Ir Bi Cu
4 2 2
direct
0.562 0.125 0.250
0.188 0.625 0.250
0.375 0.438 0.750
0.875 0.812 0.750
0.000 0.000 0.000
0.750 0.250 0.500
0.500 0.500 0.000
0.250 0.750 0.500
```

=====

4.
A plane-wave DFT calculation with PBE was carried out for a relaxed structure of SrNd2Co.

Calculated values
* space-group type: R3m, No. 160
* DFT formation energy: 0.6 kJ per mole of atoms
* energy relative to the lowest polymorph listed for this composition: 0 meV per atom

The structure in POSCAR format:
```
SrNd2Co
1.0
4.082 0.000 0.000
2.041 3.535 0.000
2.041 1.178 9.661
Sr Nd Co
1 2 1
direct
0.501 0.501 0.497
0.049 0.049 0.852
0.283 0.283 0.150
0.666 0.666 0.001
```

=====

5.
A plane-wave DFT calculation with PBE was carried out for a relaxed structure of CeAs2Pd2Rh.

Calculated values
* space-group type: I4/mmm, No. 139
* DFT formation energy: -49.6 kJ per mole of atoms

The structure in POSCAR format:
```
CeAs2Pd2Rh
1.0
4.015 0.000 0.000
0.000 4.015 0.000
-2.008 -2.008 7.864
Ce As Pd Rh
1 2 2 1
direct
0.500 0.500 0.000
0.848 0.848 0.696
0.152 0.152 0.304
0.250 0.750 0.500
0.750 0.250 0.500
0.000 0.000 0.000
```

=====

6.
A plane-wave DFT calculation with PBE was carried out for a relaxed structure of Pm5Pr2Y.

Calculated values
* space-group type: Cmcm, No. 63
* DFT formation energy: 11.9 kJ per mole of atoms
* energy relative to the lowest polymorph listed for this composition: 0 meV per atom

The structure in POSCAR format:
```
Pm5Pr2Y
1.0
-2.270 0.845 -5.290
-5.291 -5.478 4.595
-6.002 9.187 4.043
Pm Pr Y
10 4 2
direct
0.957 0.913 0.886
0.957 0.913 0.614
0.413 0.826 0.418
0.413 0.826 0.082
0.606 0.213 0.250
0.394 0.787 0.750
0.587 0.174 0.582
0.587 0.174 0.918
0.043 0.087 0.114
0.043 0.087 0.386
0.789 0.578 0.416
0.789 0.578 0.084
0.211 0.422 0.584
0.211 0.422 0.916
0.773 0.546 0.750
0.227 0.454 0.250
```

=====

7.
A plane-wave DFT calculation with PBE was carried out for a relaxed structure of K2Np2ZnSe6.

Calculated values
* space-group type: C2/m, No. 12
* ΔE_f (raw): -11.5 eV per formula unit

The structure in POSCAR format:
```
K2Np2ZnSe6
1.0
-1.640 6.774 1.995
-1.912 -5.815 3.884
7.919 0.141 2.078
K Np Zn Se
2 2 1 6
direct
0.841 0.159 0.000
0.159 0.841 0.000
0.333 0.667 0.500
0.667 0.333 0.500
0.000 0.000 0.500
0.760 0.760 0.677
0.061 0.414 0.702
0.240 0.240 0.323
0.414 0.061 0.702
0.939 0.586 0.298
0.586 0.939 0.298
```

=====

8.
A plane-wave DFT calculation with PBE was carried out for a relaxed structure of HfPPdCl2.

Calculated values
* space-group type: P4/mmm, No. 123
* energy relative to the lowest polymorph listed for this composition: 0 meV per atom
* ΔE_f (raw): -1.2 eV per formula unit

The structure in POSCAR format:
```
HfPPdCl2
1.0
4.869 0.000 0.000
0.000 4.869 0.000
0.000 0.000 5.146
P Hf Pd Cl
1 1 1 2
direct
0.000 0.000 0.500
0.000 0.000 0.000
0.500 0.500 0.500
0.000 0.500 0.000
0.500 0.000 0.000
```

=====

9.
A plane-wave DFT calculation with PBE was carried out for a relaxed structure of Ac4Dy2Er.

Calculated values
* space-group type: Cc, No. 9
* DFT formation energy: 12.0 kJ per mole of atoms

The structure in POSCAR format:
```
Ac4Dy2Er
1.0
-6.300 1.483 -3.240
3.969 -5.926 -1.229
-5.030 -3.850 11.503
Ac Er Dy
8 2 4
direct
0.631 0.248 0.710
0.248 0.631 0.210
0.217 0.862 0.862
0.862 0.217 0.362
0.105 0.253 0.639
0.790 0.675 0.291
0.675 0.790 0.791
0.253 0.105 0.139
0.481 0.734 0.500
0.734 0.481 0.000
0.384 0.184 0.434
0.701 0.996 0.066
0.996 0.701 0.566
0.184 0.384 0.934
```

=====

10.
A plane-wave DFT calculation with PBE was carried out for a relaxed structure of SrLiF2.

Calculated values
* space-group type: Fm-3m, No. 225
* energy relative to the lowest polymorph listed for this composition: 548 meV per atom
* ΔE_f (raw): -9.1 eV per formula unit

The structure in POSCAR format:
```
SrLiF2
1.0
-3.076 -2.402 2.322
-4.356 0.046 -1.282
-1.860 -3.704 -1.855
Sr Li F
1 1 2
direct
0.500 0.500 0.500
0.000 0.000 0.000
0.250 0.250 0.250
0.750 0.750 0.750
```

=====

11.
A plane-wave DFT calculation with PBE was carried out for a relaxed structure of ErLu2Os.

Calculated values
* space-group type: R-3m, No. 166
* DFT formation energy: 20.2 kJ per mole of atoms
* energy relative to the lowest polymorph listed for this composition: 400 meV per atom

The structure in POSCAR format:
```
ErLu2Os
1.0
-1.766 2.517 1.312
-2.146 -0.587 2.496
6.517 2.409 8.410
Lu Os Er
2 1 1
direct
0.104 0.104 0.687
0.896 0.896 0.313
0.500 0.500 0.500
0.000 0.000 0.000
```

=====

12.
A plane-wave DFT calculation with PBE was carried out for a relaxed structure of TlGaReO6.

Calculated values
* space-group type: P312, No. 149
* ΔE_f (raw): -12.1 eV per formula unit

The structure in POSCAR format:
```
TlGaReO6
1.0
-2.951 0.963 4.217
-5.140 0.841 -0.538
-0.861 -4.932 0.523
Tl Ga Re O
1 1 1 6
direct
0.000 0.000 0.000
0.667 0.667 0.500
0.333 0.333 0.500
0.012 0.376 0.287
0.376 0.012 0.713
0.612 0.376 0.713
0.012 0.612 0.713
0.376 0.612 0.287
0.612 0.012 0.287
```

=====

13.
A plane-wave DFT calculation with PBE was carried out for a relaxed structure of YBe2Ni.

Calculated values
* space-group type: P4/mmm, No. 123
* DFT formation energy: 39.9 kJ per mole of atoms
* energy relative to the lowest polymorph listed for this composition: 688 meV per atom

The structure in POSCAR format:
```
YBe2Ni
1.0
-2.684 2.954 -1.632
-3.302 -1.867 2.052
0.507 1.831 2.481
Y Ni Be
1 1 2
direct
0.000 0.500 0.500
0.500 0.000 0.500
0.000 0.000 0.000
0.500 0.500 0.000
```

=====

14.
A plane-wave DFT calculation with PBE was carried out for a relaxed structure of Pa2BeOsN5.

Calculated values
* space-group type: Cmc2_1, No. 36
* ΔE_f (raw): -8.7 eV per formula unit

The structure in POSCAR format:
```
Pa2BeOsN5
1.0
-2.323 -0.864 2.220
5.555 -3.322 2.027
2.353 7.127 5.234
Pa Be Os N
4 2 2 10
direct
0.872 0.744 0.799
0.120 0.240 0.697
0.128 0.256 0.299
0.880 0.760 0.197
0.510 0.020 0.980
0.490 0.980 0.480
0.797 0.594 0.501
0.203 0.406 0.001
0.365 0.730 0.013
0.697 0.395 0.863
0.499 0.998 0.787
0.298 0.595 0.649
0.960 0.919 0.535
0.635 0.270 0.513
0.303 0.605 0.363
0.501 0.002 0.287
0.702 0.405 0.149
0.040 0.081 0.035
```

=====

15.
A plane-wave DFT calculation with PBE was carried out for a relaxed structure of LaPu5Au6.

Calculated values
* space-group type: Immm, No. 71
* DFT formation energy: -44.0 kJ per mole of atoms

The structure in POSCAR format:
```
LaPu5Au6
1.0
5.139 0.004 -1.581
-0.746 6.325 -2.411
-0.010 -0.194 9.112
Pu Au La
5 6 1
direct
0.334 0.834 0.668
0.671 0.671 0.343
0.000 0.500 0.000
0.329 0.329 0.657
0.666 0.166 0.332
0.165 0.424 0.331
0.165 0.907 0.331
0.500 0.268 0.000
0.500 0.732 0.000
0.835 0.093 0.669
0.835 0.576 0.669
0.000 0.000 0.000
```

=====

16.
A plane-wave DFT calculation with PBE was carried out for a relaxed structure of Ag2Sn2Sb.

Calculated values
* space-group type: P4/mbm, No. 127
* energy relative to the lowest polymorph listed for this composition: 20 meV per atom
* ΔE_f (raw): 0.6 eV per formula unit

The structure in POSCAR format:
```
Ag2Sn2Sb
1.0
8.702 0.000 0.000
0.000 8.702 0.000
0.000 0.000 3.192
Sb Sn Ag
2 4 4
direct
0.000 0.000 0.000
0.500 0.500 0.000
0.316 0.816 0.000
0.816 0.684 0.000
0.684 0.184 0.000
0.184 0.316 0.000
0.114 0.614 0.500
0.614 0.886 0.500
0.886 0.386 0.500
0.386 0.114 0.500
```

=====

17.
A plane-wave DFT calculation with PBE was carried out for a relaxed structure of Ac2P7Rh12.

Calculated values
* space-group type: P-6, No. 174
* DFT formation energy: -81.6 kJ per mole of atoms

The structure in POSCAR format:
```
Ac2P7Rh12
1.0
-0.804 3.667 0.992
-4.183 1.460 -8.789
-5.420 -3.231 7.554
Ac P Rh
2 7 12
direct
0.500 0.000 0.000
0.000 0.667 0.333
0.000 0.333 0.667
0.000 0.044 0.775
0.000 0.730 0.956
0.000 0.225 0.270
0.500 0.623 0.563
0.500 0.939 0.377
0.500 0.437 0.061
0.500 0.891 0.606
0.500 0.715 0.109
0.500 0.394 0.285
0.500 0.218 0.810
0.500 0.592 0.782
0.500 0.190 0.408
0.000 0.069 0.552
0.000 0.483 0.931
0.000 0.448 0.517
0.000 0.773 0.728
0.000 0.954 0.227
0.000 0.272 0.046
```